Record 1
# YHfCoPt

An optimized crystal structure of YHfCoPt (PBE, Alexandria via LeMat-Bulk).

Results
crystal system	cubic
density of states at the Fermi level	0.675	states/eV/atom
DFT total energy	-7.983	eV per atom
M_tot	0.1492	μB/atom
symmetry	F-43m

a = 6.6862 Å, b = 6.6862 Å, c = 6.6862 Å
α = 90.00°, β = 90.00°, γ = 90.00°
Last column: nearest neighbours and their distance in Å.
Element x y z (fractional)
Y1 0.0000 0.0000 0.0000  4 Co 2.90, 4 Pt 2.90
Y2 0.0000 0.5000 0.5000  4 Co 2.90, 4 Pt 2.90
Y3 0.5000 0.0000 0.5000  4 Co 2.90, 4 Pt 2.90
Y4 0.5000 0.5000 0.0000  4 Co 2.90, 4 Pt 2.90
Hf1 0.0000 0.0000 0.5000  4 Co 2.90, 4 Pt 2.90
Hf2 0.0000 0.5000 0.0000  4 Co 2.90, 4 Pt 2.90
Hf3 0.5000 0.0000 0.0000  4 Co 2.90, 4 Pt 2.90
Hf4 0.5000 0.5000 0.5000  4 Co 2.90, 4 Pt 2.90
Co1 0.2500 0.2500 0.2500  4 Hf 2.90, 4 Y 2.90
Co2 0.2500 0.7500 0.7500  4 Hf 2.90, 4 Y 2.90
Co3 0.7500 0.2500 0.7500  4 Hf 2.90, 4 Y 2.90
Co4 0.7500 0.7500 0.2500  4 Hf 2.90, 4 Y 2.90
Pt1 0.2500 0.2500 0.7500  4 Hf 2.90, 4 Y 2.90
Pt2 0.2500 0.7500 0.2500  4 Hf 2.90, 4 Y 2.90
Pt3 0.7500 0.2500 0.2500  4 Hf 2.90, 4 Y 2.90
Pt4 0.7500 0.7500 0.7500  4 Hf 2.90, 4 Y 2.90

Record 2
# Pm6RuRh3

An optimized crystal structure of Pm6RuRh3 (PBE, Alexandria via LeMat-Bulk).

Results
crystal system	monoclinic
density of states at the Fermi level	0.559	states/eV/atom
DFT total energy	-6.462	eV per atom
M_tot	0.0000	μB/atom
symmetry	P2_1/m

a = 10.9113 Å, b = 4.2011 Å, c = 12.2243 Å
α = 90.00°, β = 110.61°, γ = 90.00°
Last column: nearest neighbours and their distance in Å.
Element x y z (fractional)
Pm1 0.0253 0.2500 0.3887  4 Rh 2.89-3.02
Pm2 0.0929 0.2500 0.9264  4 Rh 2.86-3.12
Pm3 0.2451 0.7500 0.3100  3 Rh 2.85-2.88, 2 Ru 2.99
Pm4 0.3333 0.7500 0.7904  3 Rh 2.84-3.07, 1 Ru 3.09
Pm5 0.3796 0.7500 0.1107  3 Rh 2.85-2.92, 2 Ru 3.03
Pm6 0.3960 0.2500 0.5641  2 Ru 2.90, 2 Rh 2.98
Pm7 0.6040 0.7500 0.4359  2 Ru 2.90, 2 Rh 2.98
Pm8 0.6204 0.2500 0.8893  3 Rh 2.85-2.92, 2 Ru 3.03
Pm9 0.6667 0.2500 0.2096  3 Rh 2.84-3.07, 1 Ru 3.09
Pm10 0.7549 0.2500 0.6900  3 Rh 2.85-2.88, 2 Ru 2.99
Pm11 0.9071 0.7500 0.0736  4 Rh 2.86-3.12
Pm12 0.9747 0.7500 0.6113  4 Rh 2.89-3.02
Ru1 0.4356 0.2500 0.3007  7 Pm 2.90-3.09
Ru2 0.5644 0.7500 0.6993  7 Pm 2.90-3.09
Rh1 0.0921 0.2500 0.1690  6 Pm 2.85-3.02
Rh2 0.1915 0.7500 0.5242  7 Pm 2.88-3.07
Rh3 0.3886 0.2500 0.9567  6 Pm 2.84-3.12, 2 Rh 3.10
Rh4 0.6114 0.7500 0.0433  6 Pm 2.84-3.12, 2 Rh 3.10
Rh5 0.8085 0.2500 0.4758  7 Pm 2.88-3.07
Rh6 0.9079 0.7500 0.8310  6 Pm 2.85-3.02

Calculated E_form in order - -592; -479 meV per atom